VASP calculation (GGA-PBE) on an optimized crystal structure of Ge2AsPF.

Unit cell a=4.3673 b=4.3673 c=5.1568 alpha=90.00 beta=90.00 gamma=90.00
Space group P4/mmm (No. 123)
One atom of each set of equivalent atoms:
1 Ge 0.0000 0.5000 0.0000 (multiplicity 2)
2 As 0.0000 0.0000 0.5000 (multiplicity 1)
3 P 0.5000 0.5000 0.5000 (multiplicity 1)
4 F 0.0000 0.0000 0.0000 (multiplicity 1)

- DOS(E_F): 0.5221 states/eV per atom
- Theoretical density: 4.56 g/cm³
- E_form (uncorrected): 0.35 eV/atom